Entry 1:
DFT (PBE-GGA) results for crystalline Ba5Si3 at its relaxed geometry.

Output
Excess energy over the best structure of this formula in the dataset in meV/atom: 226
Crystal system: orthorhombic
Formation energy without anion corrections in meV/atom: -106.6

abc: 9.010 13.005 5.445
angles: 90.00 90.00 90.00
Space group Cmmm (No. 65)
One atom of each set of equivalent atoms:
Ba (0.000, 0.000, 0.000) (multiplicity 2)
Ba (0.195, 0.500, 0.500) (multiplicity 4)
Ba (0.250, 0.250, 0.000) (multiplicity 4)
Si (0.000, 0.150, 0.500) (multiplicity 4)
Si (0.000, 0.500, 0.000) (multiplicity 2)

---

Entry 2:
DFT (PBE-GGA) results for crystalline Zr2Ni9Ir at its relaxed geometry.

Output
Crystal system: tetragonal
ΔE_f in eV per atom: -0.230

abc: 3.726 3.726 11.101
angles: 90.00 90.00 90.00
Space group P4/mmm (No. 123)
One atom of each set of equivalent atoms:
Zr (0.000, 0.000, 0.171) (multiplicity 2)
Ni (0.000, 0.500, 0.000) (multiplicity 2)
Ni (0.000, 0.500, 0.341) (multiplicity 4)
Ni (0.500, 0.500, 0.170) (multiplicity 2)
Ni (0.500, 0.500, 0.500) (multiplicity 1)
Ir (0.000, 0.000, 0.500) (multiplicity 1)

---

Entry 3:
DFT (PBE-GGA) results for crystalline LaEr5Cu6 at its relaxed geometry.

Output
Crystal system: monoclinic
ΔE_f in eV per atom: -0.247

abc: 4.917 6.899 7.804
angles: 90.00 108.16 90.00
Space group P2/m (No. 10)
One atom of each set of equivalent atoms:
La (0.000, 0.000, 0.000) (multiplicity 1)
Er (0.000, 0.500, 0.000) (multiplicity 1)
Er (0.331, 0.000, 0.661) (multiplicity 2)
Er (0.335, 0.500, 0.669) (multiplicity 2)
Cu (0.172, 0.257, 0.345) (multiplicity 4)
Cu (0.500, 0.268, 0.000) (multiplicity 2)

---

Entry 4:
DFT (PBE-GGA) results for crystalline Sm3MgBiRu4O14 at its relaxed geometry.

Output
Excess energy over the best structure of this formula in the dataset in meV/atom: 38
Crystal system: monoclinic
Formation energy without anion corrections in meV/atom: -1797.4

abc: 12.835 7.523 7.407
angles: 90.00 124.81 90.00
Space group Cm (No. 8)
One atom of each set of equivalent atoms:
Sm (0.000, 0.000, 0.000) (multiplicity 2)
Sm (0.245, 0.266, 0.019) (multiplicity 4)
Mg (0.258, 0.000, 0.731) (multiplicity 2)
Bi (0.479, 0.500, 0.488) (multiplicity 2)
Ru (0.007, 0.500, 0.495) (multiplicity 2)
Ru (0.008, 0.500, 0.012) (multiplicity 2)
Ru (0.248, 0.260, 0.489) (multiplicity 4)
O (0.091, 0.500, 0.839) (multiplicity 2)
O (0.122, 0.286, 0.160) (multiplicity 4)
O (0.128, 0.301, 0.574) (multiplicity 4)
O (0.146, 0.000, 0.868) (multiplicity 2)
O (0.166, 0.000, 0.407) (multiplicity 2)
O (0.336, 0.500, 0.586) (multiplicity 2)
O (0.372, 0.210, 0.838) (multiplicity 4)
O (0.375, 0.500, 0.117) (multiplicity 2)
O (0.377, 0.214, 0.412) (multiplicity 4)
O (0.427, 0.000, 0.173) (multiplicity 2)

---

Entry 5:
DFT (PBE-GGA) results for crystalline Er5BiPb2 at its relaxed geometry.

Output
Crystal system: tetragonal
ΔE_f in eV per atom: -0.478

abc: 8.265 8.265 13.528
angles: 90.00 90.00 90.00
Space group I4/mcm (No. 140)
One atom of each set of equivalent atoms:
Er (0.000, 0.000, 0.000) (multiplicity 4)
Er (0.150, 0.350, 0.152) (multiplicity 16)
Bi (0.000, 0.000, 0.250) (multiplicity 4)
Pb (0.151, 0.349, 0.500) (multiplicity 8)

---

Entry 6:
DFT (PBE-GGA) results for crystalline Pm3Sc2Sb3 at its relaxed geometry.

Output
Crystal system: hexagonal
Formation energy without anion corrections in meV/atom: -923.3

abc: 8.9624 8.9624 6.2311
angles: 90.00 90.00 120.00
Space group P6_3/mcm (No. 193)
One atom of each set of equivalent atoms:
Pm (0.0000, 0.2476, 0.2500) (multiplicity 6)
Sc (0.3333, 0.6667, 0.0000) (multiplicity 4)
Sb (0.0000, 0.3968, 0.7500) (multiplicity 6)

---

Entry 7:
DFT (PBE-GGA) results for crystalline BePSeCl2 at its relaxed geometry.

Output
Excess energy over the best structure of this formula in the dataset in meV/atom: 873
Crystal system: tetragonal
Formation energy without anion corrections in meV/atom: 908.7

abc: 4.783 4.783 5.286
angles: 90.00 90.00 90.00
Space group P4/mmm (No. 123)
One atom of each set of equivalent atoms:
Be (0.000, 0.000, 0.000) (multiplicity 1)
P (0.500, 0.500, 0.000) (multiplicity 1)
Se (0.500, 0.500, 0.500) (multiplicity 1)
Cl (0.000, 0.500, 0.500) (multiplicity 2)

---

Entry 8:
DFT (PBE-GGA) results for crystalline TlBi2Sb2 at its relaxed geometry.

Output
Excess energy over the best structure of this formula in the dataset in meV/atom: 28
Crystal system: tetragonal
Formation energy without anion corrections in meV/atom: 130.4

abc: 8.812 8.812 4.109
angles: 90.00 90.00 90.00
Space group P4/mbm (No. 127)
One atom of each set of equivalent atoms:
Tl (0.000, 0.000, 0.000) (multiplicity 2)
Bi (0.144, 0.356, 0.000) (multiplicity 4)
Sb (0.156, 0.656, 0.500) (multiplicity 4)

---

Entry 9:
DFT (PBE-GGA) results for crystalline Th2UMn2 at its relaxed geometry.

Output
Crystal system: monoclinic
ΔE_f in eV per atom: -0.070

abc: 9.819 5.933 7.480
angles: 90.00 97.39 90.00
Space group C2/c (No. 15)
One atom of each set of equivalent atoms:
Th (0.152, 0.110, 0.151) (multiplicity 8)
U (0.000, 0.374, 0.750) (multiplicity 4)
Mn (0.115, 0.384, 0.512) (multiplicity 8)

---

Entry 10:
DFT (PBE-GGA) results for crystalline SrCaBiAu at its relaxed geometry.

Output
Crystal system: cubic
ΔE_f in eV per atom: -0.833

abc: 7.826 7.826 7.826
angles: 90.00 90.00 90.00
Space group F-43m (No. 216)
One atom of each set of equivalent atoms:
Sr (0.000, 0.000, 0.000) (multiplicity 4)
Ca (0.000, 0.000, 0.500) (multiplicity 4)
Bi (0.250, 0.250, 0.250) (multiplicity 4)
Au (0.250, 0.250, 0.750) (multiplicity 4)

---

Entry 11:
DFT (PBE-GGA) results for crystalline Ca2TlRh at its relaxed geometry.

Output
Excess energy over the best structure of this formula in the dataset in meV/atom: 177
Crystal system: tetragonal
ΔE_f in eV per atom: -0.195

abc: 9.796 9.796 5.401
angles: 90.00 90.00 90.00
Space group I-42d (No. 122)
One atom of each set of equivalent atoms:
Ca (0.106, 0.250, 0.125) (multiplicity 8)
Tl (0.000, 0.000, 0.500) (multiplicity 4)
Rh (0.000, 0.000, 0.000) (multiplicity 4)

---

Entry 12:
DFT (PBE-GGA) results for crystalline ScCdPb2 at its relaxed geometry.

Output
Crystal system: trigonal
ΔE_f in eV per atom: -0.028

abc: 3.5321 3.5321 29.9016
angles: 90.00 90.00 120.00
Space group R-3m (No. 166, hexagonal axes)
One atom of each set of equivalent atoms:
Sc (0.0000, 0.0000, 0.0000) (multiplicity 3)
Cd (0.0000, 0.0000, 0.5000) (multiplicity 3)
Pb (0.0000, 0.0000, 0.2514) (multiplicity 6)

---

Entry 13:
DFT (PBE-GGA) results for crystalline LiCeCd6 at its relaxed geometry.

Output
Excess energy over the best structure of this formula in the dataset in meV/atom: 0
Crystal system: trigonal
ΔE_f in eV per atom: -0.176

abc: 4.9525 4.9525 25.5491
angles: 90.00 90.00 120.00
Space group R-3m (No. 166, hexagonal axes)
One atom of each set of equivalent atoms:
Li (0.0000, 0.0000, 0.0000) (multiplicity 3)
Ce (0.0000, 0.0000, 0.5000) (multiplicity 3)
Cd (0.0000, 0.0000, 0.1108) (multiplicity 6)
Cd (0.0000, 0.0000, 0.2475) (multiplicity 6)
Cd (0.0000, 0.0000, 0.3677) (multiplicity 6)

---

Entry 14:
DFT (PBE-GGA) results for crystalline SrTcSe2Br at its relaxed geometry.

Output
Excess energy over the best structure of this formula in the dataset in meV/atom: 1144
Crystal system: tetragonal
Formation energy without anion corrections in meV/atom: 519.1

abc: 5.758 5.758 5.645
angles: 90.00 90.00 90.00
Space group P4/mmm (No. 123)
One atom of each set of equivalent atoms:
Sr (0.000, 0.000, 0.000) (multiplicity 1)
Tc (0.500, 0.500, 0.500) (multiplicity 1)
Se (0.000, 0.500, 0.000) (multiplicity 2)
Br (0.000, 0.000, 0.500) (multiplicity 1)

---

Entry 15:
DFT (PBE-GGA) results for crystalline RbLaW2Cl at its relaxed geometry.

Output
Crystal system: tetragonal
Formation energy without anion corrections in meV/atom: 1876.1

abc: 4.988 4.988 11.421
angles: 90.00 90.00 90.00
Space group P4/mmm (No. 123)
One atom of each set of equivalent atoms:
Rb (0.000, 0.000, 0.000) (multiplicity 1)
La (0.000, 0.000, 0.500) (multiplicity 1)
W (0.000, 0.500, 0.500) (multiplicity 2)
Cl (0.500, 0.500, 0.000) (multiplicity 1)

---

Entry 16:
DFT (PBE-GGA) results for crystalline PaIrRu2 at its relaxed geometry.

Output
Excess energy over the best structure of this formula in the dataset in meV/atom: 287
Crystal system: trigonal
ΔE_f in eV per atom: -0.270

abc: 4.6305 4.6305 11.5561
angles: 90.00 90.00 120.00
Space group R-3m (No. 166, hexagonal axes)
One atom of each set of equivalent atoms:
Pa (0.0000, 0.0000, 0.0000) (multiplicity 3)
Ir (0.0000, 0.0000, 0.5000) (multiplicity 3)
Ru (0.0000, 0.0000, 0.2095) (multiplicity 6)

---

Entry 17:
DFT (PBE-GGA) results for crystalline TbHf2Co3 at its relaxed geometry.

Output
Crystal system: tetragonal
ΔE_f in eV per atom: -0.324

abc: 3.176 3.176 9.909
angles: 90.00 90.00 90.00
Space group P4/mmm (No. 123)
One atom of each set of equivalent atoms:
Tb (0.000, 0.000, 0.000) (multiplicity 1)
Hf (0.000, 0.000, 0.340) (multiplicity 2)
Co (0.500, 0.500, 0.199) (multiplicity 2)
Co (0.500, 0.500, 0.500) (multiplicity 1)

---

Entry 18:
DFT (PBE-GGA) results for crystalline Sr2LiCd4 at its relaxed geometry.

Output
Crystal system: tetragonal
ΔE_f in eV per atom: -0.141

abc: 5.036 5.036 16.950
angles: 90.00 90.00 90.00
Space group I4/mmm (No. 139)
One atom of each set of equivalent atoms:
Sr (0.000, 0.000, 0.147) (multiplicity 4)
Li (0.000, 0.000, 0.500) (multiplicity 2)
Cd (0.000, 0.000, 0.347) (multiplicity 4)
Cd (0.000, 0.500, 0.000) (multiplicity 4)

---

Entry 19:
DFT (PBE-GGA) results for crystalline SiAuO2 at its relaxed geometry.

Output
Crystal system: trigonal
Formation energy without anion corrections in meV/atom: -335.5

abc: 3.0265 3.0265 20.4871
angles: 90.00 90.00 120.00
Space group R-3m (No. 166, hexagonal axes)
One atom of each set of equivalent atoms:
Si (0.0000, 0.0000, 0.0000) (multiplicity 3)
Au (0.0000, 0.0000, 0.5000) (multiplicity 3)
O (0.0000, 0.0000, 0.0772) (multiplicity 6)

---

Entry 20:
DFT (PBE-GGA) results for crystalline V2HRhAu at its relaxed geometry.

Output
Excess energy over the best structure of this formula in the dataset in meV/atom: 0
Crystal system: tetragonal

abc: 3.891 3.891 3.958
angles: 90.00 90.00 90.00
Space group P4/mmm (No. 123)
One atom of each set of equivalent atoms:
V (0.000, 0.500, 0.000) (multiplicity 2)
H (0.000, 0.000, 0.000) (multiplicity 1)
Rh (0.000, 0.000, 0.500) (multiplicity 1)
Au (0.500, 0.500, 0.500) (multiplicity 1)